Computed, not measured: a geometry-optimized ScCrCl structure at the GGA-PBE level of DFT.

Density of states at the Fermi level in states/eV per cell: 3.09
Energy relative to the lowest polymorph listed for this composition in meV/atom: 0.0
Uncorrected formation energy in eV per formula unit: -1.03

Lattice parameters (Å, degrees): 3.3077 3.3077 6.5051 90.00 90.00 120.00
With the nearest neighbours (Å) after each atom.
Positions (direct):
Sc 0.6667 0.3333 0.6813  3 Cl 2.62, 3 Cr 2.82
Cr 0.3333 0.6667 0.3614  3 Sc 2.82
Cl 0.0000 0.0000 0.9573  3 Sc 2.62


Computed, not measured: a geometry-optimized TlHg5S4 structure at the GGA-PBE level of DFT.

Density of states at the Fermi level in states/eV per cell: 6.04
Uncorrected formation energy in eV per formula unit: -0.14

Lattice parameters (Å, degrees): 5.4940 8.6182 12.1564 90.00 90.00 90.00
With the nearest neighbours (Å) after each atom.
Positions (direct):
S 0.0413 0.0000 0.3009  3 Hg 2.56-2.69
S 0.4952 0.2614 0.5000  3 Hg 2.61
S 0.4952 0.7386 0.5000  3 Hg 2.61
S 0.9587 0.5000 0.8009  3 Hg 2.56-2.69
S 0.9587 0.5000 0.1991  3 Hg 2.56-2.69
S 0.5048 0.2386 0.0000  3 Hg 2.61
S 0.5048 0.7614 0.0000  3 Hg 2.61
S 0.0413 0.0000 0.6991  3 Hg 2.56-2.69
Tl 0.0887 0.5000 0.5000  2 S 3.04
Tl 0.9113 0.0000 0.0000  2 S 3.04
Hg 0.2568 0.0000 0.5000  4 S 2.61-2.69
Hg 0.3050 0.6978 0.8102  2 S 2.56-2.61, 1 Hg 2.75
Hg 0.6950 0.1978 0.3102  2 S 2.56-2.61, 1 Hg 2.75
Hg 0.3050 0.6978 0.1898  2 S 2.56-2.61, 1 Hg 2.75
Hg 0.6950 0.8022 0.3102  2 S 2.56-2.61, 1 Hg 2.75
Hg 0.7432 0.5000 0.0000  4 S 2.61-2.69
Hg 0.6950 0.1978 0.6898  2 S 2.56-2.61, 1 Hg 2.75
Hg 0.3050 0.3022 0.8102  2 S 2.56-2.61, 1 Hg 2.75
Hg 0.3050 0.3022 0.1898  2 S 2.56-2.61, 1 Hg 2.75
Hg 0.6950 0.8022 0.6898  2 S 2.56-2.61, 1 Hg 2.75


Computed, not measured: a geometry-optimized TaPRh2 structure at the GGA-PBE level of DFT.

Density of states at the Fermi level in states/eV per cell: 3.11
Formation energy from the elements in meV per atom: -471

Lattice parameters (Å, degrees): 4.0067 2.8998 5.2910 73.81 90.00 90.00
With the nearest neighbours (Å) after each atom.
Positions (direct):
P 0.5000 0.0000 0.5000  4 Rh 2.43, 2 Ta 2.64
Ta 0.5000 0.5000 0.0000  2 P 2.64, 8 Rh 2.78-2.84, 2 Ta 2.90
Rh 0.0000 0.1138 0.7367  2 P 2.43, 1 Rh 2.68
Rh 0.0000 0.8862 0.2633  2 P 2.43, 1 Rh 2.68


Computed, not measured: a geometry-optimized Ac2CdN structure at the GGA-PBE level of DFT.

Density of states at the Fermi level in states/eV per cell: 4.92
Energy relative to the lowest polymorph listed for this composition in meV/atom: 0.0
Uncorrected formation energy in eV per formula unit: -2.79

Lattice parameters (Å, degrees): 6.1256 6.2336 7.5751 90.00 113.92 90.00
With the nearest neighbours (Å) after each atom.
Positions (direct):
Ac 0.6714 0.6213 0.6477  2 N 2.43
Ac 0.0546 0.6212 0.2595  2 N 2.43
Ac 0.2489 0.1213 0.6474  2 N 2.43
Ac 0.4772 0.1212 0.2598  2 N 2.43
N 0.3630 0.3713 0.4536  4 Ac 2.43
N 0.3630 0.8712 0.4536  4 Ac 2.43
Cd 0.3630 0.6212 0.9536  8 Ac 3.53-3.92
Cd 0.8630 0.1213 0.9536  8 Ac 3.53-3.93


Among the records above, which one has the lowest density of states at the Fermi level? ScCrCl